Entry from Alexandria: a relaxed structure of Pm3Sb3Te (PBE).

Its formation energy without anion corrections is -0.885 eV/atom. Its total energy is -5.136 eV per atom. As for the spin magnetization: 0.0 μB per formula unit.

The space group is R3m (No. 160, hexagonal axes) and the conventional cell measures 9.5440, 9.5440 and 8.1696 Å, with angles of 90.00, 90.00 and 120.00 degrees. The asymmetric unit holds Pm at (0.1813, 0.3625, 0.0000), Sb at (0.1041, 0.5521, 0.2822) and Te at (0.0000, 0.0000, 0.1117).

=====

Entry from Alexandria: a relaxed structure of LiHoCdNi (PBE).

Its total energy is -3.498 eV per atom. As for the spin magnetization: 0.0 μB per formula unit. The value obtained for the formation energy is -77 kJ/mol of formula units.

The space group is F-43m (No. 216) and the conventional cell measures 6.624, 6.624 and 6.624 Å, with angles of 90.00, 90.00 and 90.00 degrees. The asymmetric unit holds Li at (0.000, 0.000, 0.000), Ho at (0.250, 0.250, 0.250), Cd at (0.250, 0.250, 0.750) and Ni at (0.000, 0.000, 0.500).

=====

Entry from Alexandria: a relaxed structure of SrV3Re (PBE).

The value obtained for the polymorph energy (0 for the lowest one) is 1834 meV per atom. Its total energy is -5.614 eV per atom. As for the spin magnetization: 0.0 μB per formula unit. The value obtained for the formation energy is 1295 kJ/mol of formula units.

The space group is Pm-3m (No. 221) and the conventional cell measures 4.423, 4.423 and 4.423 Å, with angles of 90.00, 90.00 and 90.00 degrees. The asymmetric unit holds Sr at (0.000, 0.000, 0.000), V at (0.000, 0.000, 0.500) and Re at (0.500, 0.500, 0.500).

=====

Entry from Alexandria: a relaxed structure of KZr2Ni (PBE).

The value obtained for the polymorph energy (0 for the lowest one) is 814 meV per atom. Its total energy is -4.997 eV per atom. As for the spin magnetization: 0.0 μB per formula unit. The value obtained for the formation energy is 385 kJ/mol of formula units.

The space group is I-4m2 (No. 119) and the conventional cell measures 4.263, 4.263 and 9.599 Å, with angles of 90.00, 90.00 and 90.00 degrees. The asymmetric unit holds K at (0.000, 0.000, 0.000), Zr at (0.000, 0.000, 0.500), Zr at (0.000, 0.500, 0.250) and Ni at (0.000, 0.500, 0.750).

=====

Entry from Alexandria: a relaxed structure of TbErNi2 (PBE).

Its total energy is -5.653 eV per atom. As for the spin magnetization: 0.0 μB per formula unit. The value obtained for the formation energy is -179 kJ/mol of formula units.

The space group is Amm2 (No. 38) and the conventional cell measures 4.187, 3.735 and 10.142 Å, with angles of 90.00, 90.00 and 90.00 degrees. The asymmetric unit holds Tb at (0.000, 0.000, 0.000), Er at (0.500, 0.000, 0.721), Ni at (0.000, 0.000, 0.287) and Ni at (0.500, 0.000, 0.431).

=====

Entry from Alexandria: a relaxed structure of TbZr4Rh5 (PBE).

Its total energy is -8.342 eV per atom. As for the spin magnetization: 0.0 μB per formula unit. The value obtained for the formation energy is -756 kJ/mol of formula units.

The space group is P4/mmm (No. 123) and the conventional cell measures 3.325, 3.325 and 16.715 Å, with angles of 90.00, 90.00 and 90.00 degrees. The asymmetric unit holds Tb at (0.000, 0.000, 0.000), Zr at (0.000, 0.000, 0.206), Zr at (0.000, 0.000, 0.403), Rh at (0.500, 0.500, 0.115), Rh at (0.500, 0.500, 0.306) and Rh at (0.500, 0.500, 0.500).

=====

Entry from Alexandria: a relaxed structure of Sr5Ir2I2 (PBE).

Its formation energy without anion corrections is -0.693 eV/atom. Its total energy is -3.941 eV per atom. As for the spin magnetization: 0.0 μB per formula unit.

The space group is Cmce (No. 64) and the conventional cell measures 18.032, 8.259 and 8.259 Å, with angles of 90.00, 90.00 and 90.00 degrees. The asymmetric unit holds Sr at (0.000, 0.000, 0.000), Sr at (0.112, 0.170, 0.331), Ir at (0.000, 0.113, 0.613) and I at (0.216, 0.000, 0.000).

=====

Entry from Alexandria: a relaxed structure of TlSbSe2 (PBE).

Its formation energy without anion corrections is 0.354 eV/atom. Its total energy is -3.010 eV per atom. As for the spin magnetization: 0.8 μB per formula unit.

The space group is Cmmm (No. 65) and the conventional cell measures 4.868, 13.253 and 3.788 Å, with angles of 90.00, 90.00 and 90.00 degrees. The asymmetric unit holds Tl at (0.000, 0.000, 0.000), Sb at (0.000, 0.500, 0.500) and Se at (0.000, 0.226, 0.000).

=====

Entry from Alexandria: a relaxed structure of Nd3TiB2N6 (PBE).

Its formation energy without anion corrections is -1.186 eV/atom. Its total energy is -8.312 eV per atom. As for the spin magnetization: 0.0 μB per formula unit.

The space group is P-3m1 (No. 164) and the conventional cell measures 5.4332, 5.4332 and 6.1822 Å, with angles of 90.00, 90.00 and 120.00 degrees. The asymmetric unit holds Nd at (0.0000, 0.0000, 0.0000), Nd at (0.3333, 0.6667, 0.6639), Ti at (0.0000, 0.0000, 0.5000), B at (0.3333, 0.6667, 0.2605) and N at (0.1793, 0.3585, 0.2961).

=====

Entry from Alexandria: a relaxed structure of K2Hg2PdCl4 (PBE).

Its formation energy without anion corrections is -0.998 eV/atom. Its total energy is -2.706 eV per atom. As for the spin magnetization: 0.9 μB per formula unit.

The space group is I4/mmm (No. 139) and the conventional cell measures 7.733, 7.733 and 8.336 Å, with angles of 90.00, 90.00 and 90.00 degrees. The asymmetric unit holds K at (0.000, 0.500, 0.250), Hg at (0.000, 0.000, 0.171), Pd at (0.000, 0.000, 0.500) and Cl at (0.227, 0.227, 0.500).

=====

Entry from Alexandria: a relaxed structure of RbHgTe2I (PBE).

Its formation energy without anion corrections is 0.398 eV/atom. The value obtained for the polymorph energy (0 for the lowest one) is 626 meV per atom. Its total energy is -1.422 eV per atom. As for the spin magnetization: 4.0 μB per formula unit.

The space group is P4/mmm (No. 123) and the conventional cell measures 7.237, 7.237 and 6.880 Å, with angles of 90.00, 90.00 and 90.00 degrees. The asymmetric unit holds Rb at (0.000, 0.000, 0.000), Hg at (0.500, 0.500, 0.500), Te at (0.000, 0.500, 0.000) and I at (0.000, 0.000, 0.500).

=====

Entry from Alexandria: a relaxed structure of PtRh2I6 (PBE).

Its formation energy without anion corrections is -0.076 eV/atom. Its total energy is -3.414 eV per atom. As for the spin magnetization: 0.2 μB per formula unit.

The space group is C2/m (No. 12) and the conventional cell measures 13.385, 3.975 and 13.537 Å, with angles of 90.00, 118.47 and 90.00 degrees. The asymmetric unit holds Pt at (0.000, 0.000, 0.000), Rh at (0.211, 0.500, 0.354), I at (0.028, 0.500, 0.141), I at (0.117, 0.000, 0.418) and I at (0.183, 0.500, 0.695).

=====

Entry from Alexandria: a relaxed structure of Pu2SbSe (PBE).

Its formation energy without anion corrections is -0.901 eV/atom. The value obtained for the polymorph energy (0 for the lowest one) is 167 meV per atom. Its total energy is -9.969 eV per atom. As for the spin magnetization: 11.0 μB per formula unit.

The space group is Fm-3m (No. 225) and the conventional cell measures 7.367, 7.367 and 7.367 Å, with angles of 90.00, 90.00 and 90.00 degrees. The asymmetric unit holds Pu at (0.250, 0.250, 0.250), Sb at (0.000, 0.000, 0.000) and Se at (0.000, 0.000, 0.500).

=====

Entry from Alexandria: a relaxed structure of SrY3Ir (PBE).

The value obtained for the polymorph energy (0 for the lowest one) is 0 meV per atom. Its total energy is -6.357 eV per atom. As for the spin magnetization: 0.0 μB per formula unit. The value obtained for the formation energy is -179 kJ/mol of formula units.

The space group is P-1 (No. 2) and the conventional cell measures 3.809, 9.250 and 9.263 Å, with angles of 103.97, 90.04 and 90.01 degrees. The asymmetric unit holds Sr at (0.249, 0.305, 0.474), Y at (0.250, 0.522, 0.157), Y at (0.250, 0.840, 0.907), Y at (0.251, 0.911, 0.290) and Ir at (0.250, 0.265, 0.909).

=====

Entry from Alexandria: a relaxed structure of CoIrPt6 (PBE).

Its total energy is -6.558 eV per atom. As for the spin magnetization: 3.6 μB per formula unit. The value obtained for the formation energy is -25 kJ/mol of formula units.

The space group is I4/mmm (No. 139) and the conventional cell measures 3.898, 3.898 and 15.838 Å, with angles of 90.00, 90.00 and 90.00 degrees. The asymmetric unit holds Co at (0.000, 0.000, 0.000), Ir at (0.000, 0.000, 0.500), Pt at (0.000, 0.000, 0.252) and Pt at (0.000, 0.500, 0.118).

=====

Entry from Alexandria: a relaxed structure of Pr3RuCl2 (PBE).

Its formation energy without anion corrections is -1.057 eV/atom. The value obtained for the polymorph energy (0 for the lowest one) is 5 meV per atom. Its total energy is -5.609 eV per atom. As for the spin magnetization: 0.0 μB per formula unit.

The space group is C2/c (No. 15) and the conventional cell measures 7.875, 12.497 and 7.057 Å, with angles of 90.00, 109.12 and 90.00 degrees. The asymmetric unit holds Pr at (0.203, 0.075, 0.499), Pr at (0.250, 0.250, 0.000), Ru at (0.000, 0.095, 0.750), Cl at (0.000, 0.266, 0.250) and Cl at (0.000, 0.427, 0.750).

=====

Entry from Alexandria: a relaxed structure of Y3ZnTe (PBE).

Its formation energy without anion corrections is -0.218 eV/atom. The value obtained for the polymorph energy (0 for the lowest one) is 424 meV per atom. Its total energy is -4.979 eV per atom. As for the spin magnetization: 0.0 μB per formula unit.

The space group is Pm-3m (No. 221) and the conventional cell measures 5.385, 5.385 and 5.385 Å, with angles of 90.00, 90.00 and 90.00 degrees. The asymmetric unit holds Y at (0.000, 0.000, 0.500), Zn at (0.000, 0.000, 0.000) and Te at (0.500, 0.500, 0.500).

=====

Entry from Alexandria: a relaxed structure of CaCoW2 (PBE).

The value obtained for the polymorph energy (0 for the lowest one) is 406 meV per atom. Its total energy is -7.865 eV per atom. As for the spin magnetization: 1.4 μB per formula unit. The value obtained for the formation energy is 343 kJ/mol of formula units.

The space group is Cmmm (No. 65) and the conventional cell measures 5.301, 9.692 and 2.662 Å, with angles of 90.00, 90.00 and 90.00 degrees. The asymmetric unit holds Ca at (0.000, 0.000, 0.000), Co at (0.000, 0.500, 0.000) and W at (0.250, 0.250, 0.500).

=====

Entry from Alexandria: a relaxed structure of OsRuI3 (PBE).

Its formation energy without anion corrections is 1.530 eV/atom. The value obtained for the polymorph energy (0 for the lowest one) is 0 meV per atom. Its total energy is -3.501 eV per atom. As for the spin magnetization: 4.0 μB per formula unit.

The space group is Pm-3m (No. 221) and the conventional cell measures 5.358, 5.358 and 5.358 Å, with angles of 90.00, 90.00 and 90.00 degrees. The asymmetric unit holds Os at (0.000, 0.000, 0.000), Ru at (0.500, 0.500, 0.500) and I at (0.000, 0.000, 0.500).

=====

Entry from Alexandria: a relaxed structure of Li2CrIn (PBE).

Its total energy is -3.866 eV per atom. As for the spin magnetization: 4.0 μB per formula unit. The value obtained for the formation energy is 70 kJ/mol of formula units.

The space group is P4mm (No. 99) and the conventional cell measures 3.249, 3.249 and 6.882 Å, with angles of 90.00, 90.00 and 90.00 degrees. The asymmetric unit holds Li at (0.000, 0.000, 0.000), Li at (0.500, 0.500, 0.242), Cr at (0.000, 0.000, 0.482) and In at (0.500, 0.500, 0.741).

=====

Entry from Alexandria: a relaxed structure of Ca2AlHg (PBE).

The value obtained for the polymorph energy (0 for the lowest one) is 345 meV per atom. Its total energy is -2.036 eV per atom. As for the spin magnetization: 0.0 μB per formula unit. The value obtained for the formation energy is -9 kJ/mol of formula units.

The space group is I-42d (No. 122) and the conventional cell measures 8.375, 8.375 and 6.944 Å, with angles of 90.00, 90.00 and 90.00 degrees. The asymmetric unit holds Ca at (0.245, 0.250, 0.125), Al at (0.000, 0.000, 0.500) and Hg at (0.000, 0.000, 0.000).

=====

Entry from Alexandria: a relaxed structure of RbAc2Se3 (PBE).

Its formation energy without anion corrections is -1.809 eV/atom. Its total energy is -5.082 eV per atom. As for the spin magnetization: 0.0 μB per formula unit.

The space group is P6_3/mmc (No. 194) and the conventional cell measures 4.5297, 4.5297 and 23.6293 Å, with angles of 90.00, 90.00 and 120.00 degrees. The asymmetric unit holds Rb at (0.0000, 0.0000, 0.2500), Ac at (0.3333, 0.6667, 0.0781), Se at (0.0000, 0.0000, 0.0000) and Se at (0.3333, 0.6667, 0.6499).

=====

Entry from Alexandria: a relaxed structure of TbCuRhPb (PBE).

Its total energy is -5.283 eV per atom. As for the spin magnetization: 0.0 μB per formula unit. The value obtained for the formation energy is -130 kJ/mol of formula units.

The space group is F-43m (No. 216) and the conventional cell measures 6.788, 6.788 and 6.788 Å, with angles of 90.00, 90.00 and 90.00 degrees. The asymmetric unit holds Tb at (0.000, 0.000, 0.000), Cu at (0.250, 0.250, 0.250), Rh at (0.250, 0.250, 0.750) and Pb at (0.000, 0.000, 0.500).

=====

Entry from Alexandria: a relaxed structure of LaN (PBE).

Its formation energy without anion corrections is -1.175 eV/atom. Its total energy is -7.801 eV per atom. As for the spin magnetization: 0.0 μB per formula unit.

The space group is P4/m (No. 83) and the conventional cell measures 10.814, 10.814 and 4.121 Å, with angles of 90.00, 90.00 and 90.00 degrees. The asymmetric unit holds La at (0.104, 0.368, 0.000), La at (0.233, 0.606, 0.500), N at (0.118, 0.590, 0.000) and N at (0.220, 0.385, 0.500).

=====

Entry from Alexandria: a relaxed structure of MnHPdRu2 (PBE).

Its total energy is -7.174 eV per atom. As for the spin magnetization: 2.5 μB per formula unit.

The space group is P4/mmm (No. 123) and the conventional cell measures 3.866, 3.866 and 3.904 Å, with angles of 90.00, 90.00 and 90.00 degrees. The asymmetric unit holds Mn at (0.000, 0.000, 0.000), H at (0.000, 0.000, 0.500), Pd at (0.500, 0.500, 0.000) and Ru at (0.000, 0.500, 0.500).